[1]
A plane-wave DFT calculation with PBE-GGA was carried out for a geometry-optimized NaHg4Pd structure.

Lattice parameters (Å, degrees): 4.4791 4.4791 8.0684 90.00 90.00 90.00
With the nearest neighbours (Å) after each atom.
Sites, in units of the cell vectors:
Na 0.0000 0.0000 0.0000  8 Hg 3.20
Hg 0.0000 0.5000 0.2839  2 Pd 2.84, 4 Hg 3.17
Hg 0.0000 0.5000 0.7161  2 Pd 2.84, 4 Hg 3.17
Hg 0.5000 0.0000 0.2839  2 Pd 2.84, 4 Hg 3.17
Hg 0.5000 0.0000 0.7161  2 Pd 2.84, 4 Hg 3.17
Pd 0.5000 0.5000 0.5000  8 Hg 2.84

Properties
The calculation puts the energy relative to the elements at -0.063 eV per atom. Its polymorph energy (0 for the lowest one) is 10 meV/atom. The density of states at the Fermi level is 2.82 states/eV/cell. The total moment comes out at 0.00 μB per cell.

***

[2]
A plane-wave DFT calculation with PBE-GGA was carried out for a geometry-optimized NaHg3Pd structure.

Lattice parameters (Å, degrees): 5.4759 7.3735 7.3747 60.68 85.18 85.50
With the nearest neighbours (Å) after each atom.
Sites, in units of the cell vectors:
Na 0.0031 0.1638 0.1603  4 Hg 3.16-3.53, 1 Pd 3.29
Na 0.9969 0.8362 0.8397  4 Hg 3.16-3.53, 1 Pd 3.29
Hg 0.1523 0.3942 0.3970  3 Pd 2.70-3.01, 1 Hg 3.00
Hg 0.5000 0.0000 0.5000  2 Pd 2.77
Hg 0.4997 0.1877 0.8120  1 Hg 2.80, 2 Pd 2.82
Hg 0.5000 0.5000 0.0000  2 Pd 2.77
Hg 0.5003 0.8123 0.1880  1 Hg 2.80, 2 Pd 2.82
Hg 0.8477 0.6058 0.6030  3 Pd 2.70-3.01, 1 Hg 3.00
Pd 0.3390 0.6099 0.6118  7 Hg 2.70-3.01
Pd 0.6610 0.3901 0.3882  7 Hg 2.70-3.01

Properties
The calculation puts the energy relative to the elements at -0.168 eV per atom. Its polymorph energy (0 for the lowest one) is 0 meV/atom. The density of states at the Fermi level is 3.05 states/eV/cell. The total moment comes out at 0.00 μB per cell.

***

[3]
A plane-wave DFT calculation with PBE-GGA was carried out for a geometry-optimized Na8Hg2Pd structure.

Lattice parameters (Å, degrees): 9.0935 9.0935 7.2832 109.96 109.96 33.41
With the nearest neighbours (Å) after each atom.
Sites, in units of the cell vectors:
Na 0.0183 0.0183 0.2889  2 Pd 3.11, 1 Hg 3.22, 5 Na 3.34-3.43
Na 0.1895 0.1895 0.7546  3 Hg 3.18-3.36, 6 Na 3.42-3.52
Na 0.3454 0.3454 0.5680  1 Pd 2.91, 1 Hg 3.19
Na 0.4005 0.4005 0.0771  1 Pd 2.95, 2 Hg 3.26
Na 0.5995 0.5995 0.9229  1 Pd 2.95, 2 Hg 3.26
Na 0.6546 0.6546 0.4320  1 Pd 2.91, 1 Hg 3.19
Na 0.8105 0.8105 0.2454  3 Hg 3.18-3.36, 6 Na 3.42-3.52
Na 0.9817 0.9817 0.7111  2 Pd 3.11, 1 Hg 3.22, 5 Na 3.34-3.43
Hg 0.1829 0.1829 0.1855  9 Na 3.18-3.36
Hg 0.8171 0.8171 0.8145  9 Na 3.18-3.36
Pd 0.5000 0.5000 0.5000  8 Na 2.91-3.11

Properties
The calculation puts the energy relative to the elements at -0.114 eV per atom. The density of states at the Fermi level is 4.40 states/eV/cell. The total moment comes out at 0.00 μB per cell.

***

[4]
A plane-wave DFT calculation with PBE-GGA was carried out for a geometry-optimized Na2Hg3Pd structure.

Lattice parameters (Å, degrees): 6.7500 6.7500 6.7500 137.39 130.63 67.22
With the nearest neighbours (Å) after each atom.
Sites, in units of the cell vectors:
Na 0.2152 0.2152 0.0000  4 Hg 2.98-3.01, 1 Pd 3.20
Na 0.7848 0.7848 0.0000  4 Hg 2.98-3.01, 1 Pd 3.20
Hg 0.0000 0.5000 0.5000  2 Pd 2.82
Hg 0.3704 0.8704 0.5000  2 Pd 2.85, 1 Hg 2.91, 4 Na 2.98-3.01
Hg 0.6296 0.1296 0.5000  2 Pd 2.85, 1 Hg 2.91, 4 Na 2.98-3.01
Pd 0.5000 0.5000 0.0000  6 Hg 2.82-2.85

Properties
The calculation puts the energy relative to the elements at -0.139 eV per atom. Its polymorph energy (0 for the lowest one) is 68 meV/atom. The density of states at the Fermi level is 1.99 states/eV/cell. The total moment comes out at 0.00 μB per cell.

***

[5]
A plane-wave DFT calculation with PBE-GGA was carried out for a geometry-optimized Na2Hg3Pd structure.

Lattice parameters (Å, degrees): 5.6761 10.7474 4.7722 90.00 90.00 90.00
With the nearest neighbours (Å) after each atom.
Sites, in units of the cell vectors:
Na 0.2128 0.2148 0.0000  6 Hg 3.11-3.47, 1 Pd 3.29
Na 0.2872 0.7148 0.5000  6 Hg 3.11-3.47, 1 Pd 3.29
Na 0.7128 0.2852 0.5000  6 Hg 3.11-3.47, 1 Pd 3.29
Na 0.7872 0.7852 0.0000  6 Hg 3.11-3.47, 1 Pd 3.29
Hg 0.0000 0.0000 0.5000  2 Pd 2.84, 4 Hg 3.07
Hg 0.2107 0.4051 0.5000  2 Pd 2.86, 3 Hg 3.07-3.14, 4 Na 3.11-3.14
Hg 0.2893 0.9051 0.0000  2 Pd 2.86, 3 Hg 3.07-3.14, 4 Na 3.11-3.14
Hg 0.5000 0.5000 0.0000  2 Pd 2.84, 4 Hg 3.07
Hg 0.7107 0.0949 0.0000  2 Pd 2.86, 3 Hg 3.07-3.14, 4 Na 3.11-3.14
Hg 0.7893 0.5949 0.5000  2 Pd 2.86, 3 Hg 3.07-3.14, 4 Na 3.11-3.14
Pd 0.0000 0.5000 0.0000  6 Hg 2.84-2.86
Pd 0.5000 0.0000 0.5000  6 Hg 2.84-2.86

Properties
The calculation puts the energy relative to the elements at -0.207 eV per atom. Its polymorph energy (0 for the lowest one) is 0 meV/atom. The density of states at the Fermi level is 4.24 states/eV/cell. The total moment comes out at 0.00 μB per cell.

***

[6]
A plane-wave DFT calculation with PBE-GGA was carried out for a geometry-optimized Na5Hg5Pd2 structure.

Lattice parameters (Å, degrees): 5.0081 5.0081 13.3098 100.95 100.95 60.02
With the nearest neighbours (Å) after each atom.
Sites, in units of the cell vectors:
Na 0.0000 0.0000 0.0000  6 Hg 3.04-3.05
Na 0.1966 0.1966 0.5933  1 Na 3.01, 6 Hg 3.13-3.27, 3 Pd 3.25-3.28
Na 0.2732 0.2732 0.8249  1 Na 3.01, 7 Hg 3.18-3.26, 3 Pd 3.24-3.25
Na 0.7268 0.7268 0.1751  1 Na 3.01, 7 Hg 3.18-3.26, 3 Pd 3.24-3.25
Na 0.8034 0.8034 0.4067  1 Na 3.01, 6 Hg 3.13-3.27, 3 Pd 3.25-3.28
Hg 0.0998 0.0998 0.2911  3 Pd 2.89-2.90
Hg 0.3582 0.3582 0.0732  1 Pd 2.80, 3 Na 3.04-3.05
Hg 0.5000 0.5000 0.5000  2 Pd 2.74
Hg 0.6418 0.6418 0.9268  1 Pd 2.80, 3 Na 3.04-3.05
Hg 0.9002 0.9002 0.7089  3 Pd 2.89-2.90
Pd 0.4330 0.4330 0.2892  5 Hg 2.74-2.90
Pd 0.5670 0.5670 0.7108  5 Hg 2.74-2.90

Properties
The calculation puts the energy relative to the elements at -0.236 eV per atom. The density of states at the Fermi level is 4.73 states/eV/cell. The total moment comes out at 0.00 μB per cell.

***

[7]
A plane-wave DFT calculation with PBE-GGA was carried out for a geometry-optimized NaHg4Pd4 structure.

Lattice parameters (Å, degrees): 6.2822 6.2822 9.6031 90.00 90.00 90.00
With the nearest neighbours (Å) after each atom.
Sites, in units of the cell vectors:
Na 0.2500 0.7500 0.2500  4 Hg 3.16, 8 Pd 3.51
Na 0.7500 0.2500 0.7500  4 Hg 3.16, 8 Pd 3.51
Hg 0.0154 0.2500 0.0290  5 Pd 2.79-2.83, 1 Hg 2.95
Hg 0.2500 0.0154 0.5290  5 Pd 2.79-2.83, 1 Hg 2.95
Hg 0.2500 0.4846 0.5290  5 Pd 2.79-2.83, 1 Hg 2.95
Hg 0.4846 0.2500 0.0290  5 Pd 2.79-2.83, 1 Hg 2.95
Hg 0.5154 0.7500 0.9710  5 Pd 2.79-2.83, 1 Hg 2.95
Hg 0.7500 0.5154 0.4710  5 Pd 2.79-2.83, 1 Hg 2.95
Hg 0.7500 0.9846 0.4710  5 Pd 2.79-2.83, 1 Hg 2.95
Hg 0.9846 0.7500 0.9710  5 Pd 2.79-2.83, 1 Hg 2.95
Pd 0.0272 0.2500 0.3240  5 Hg 2.79-2.83, 3 Pd 2.80-2.84
Pd 0.2500 0.0272 0.8240  5 Hg 2.79-2.83, 3 Pd 2.80-2.84
Pd 0.2500 0.4728 0.8240  5 Hg 2.79-2.83, 3 Pd 2.80-2.84
Pd 0.4728 0.2500 0.3240  5 Hg 2.79-2.83, 3 Pd 2.80-2.84
Pd 0.5272 0.7500 0.6760  5 Hg 2.79-2.83, 3 Pd 2.80-2.84
Pd 0.7500 0.5272 0.1760  5 Hg 2.79-2.83, 3 Pd 2.80-2.84
Pd 0.7500 0.9728 0.1760  5 Hg 2.79-2.83, 3 Pd 2.80-2.84
Pd 0.9728 0.7500 0.6760  5 Hg 2.79-2.83, 3 Pd 2.80-2.84

Properties
The calculation puts the energy relative to the elements at -0.138 eV per atom. The density of states at the Fermi level is 8.95 states/eV/cell. The total moment comes out at 0.00 μB per cell.

***

[8]
A plane-wave DFT calculation with PBE-GGA was carried out for a geometry-optimized Na5Hg2Pd structure.

Lattice parameters (Å, degrees): 6.4759 12.9755 4.6601 90.00 90.00 90.00
With the nearest neighbours (Å) after each atom.
Sites, in units of the cell vectors:
Na 0.0000 0.0000 0.0000  4 Hg 3.22, 2 Pd 3.24, 6 Na 3.29-3.43
Na 0.0178 0.2644 0.0000  1 Pd 3.06, 2 Hg 3.17, 4 Na 3.22-3.26
Na 0.2219 0.6133 0.5000  2 Hg 3.02-3.08, 2 Pd 3.11, 4 Na 3.22-3.29
Na 0.2781 0.1133 0.5000  2 Hg 3.02-3.08, 2 Pd 3.11, 4 Na 3.22-3.29
Na 0.4822 0.7644 0.0000  1 Pd 3.06, 2 Hg 3.17, 4 Na 3.22-3.26
Na 0.5000 0.5000 0.0000  4 Hg 3.22, 2 Pd 3.24, 6 Na 3.29-3.43
Na 0.5178 0.2356 0.0000  1 Pd 3.06, 2 Hg 3.17, 4 Na 3.22-3.26
Na 0.7219 0.8867 0.5000  2 Hg 3.02-3.08, 2 Pd 3.11, 4 Na 3.22-3.29
Na 0.7781 0.3867 0.5000  2 Hg 3.02-3.08, 2 Pd 3.11, 4 Na 3.22-3.29
Na 0.9822 0.7356 0.0000  1 Pd 3.06, 2 Hg 3.17, 4 Na 3.22-3.26
Hg 0.2460 0.8808 0.5000  6 Na 3.02-3.22, 2 Pd 3.24
Hg 0.2540 0.3808 0.5000  6 Na 3.02-3.22, 2 Pd 3.24
Hg 0.7460 0.6192 0.5000  6 Na 3.02-3.22, 2 Pd 3.24
Hg 0.7540 0.1192 0.5000  6 Na 3.02-3.22, 2 Pd 3.24
Pd 0.0000 0.5000 0.0000  8 Na 3.06-3.24, 4 Hg 3.24
Pd 0.5000 0.0000 0.0000  8 Na 3.06-3.24, 4 Hg 3.24

Properties
The calculation puts the energy relative to the elements at -0.141 eV per atom. Its polymorph energy (0 for the lowest one) is 32 meV/atom. The density of states at the Fermi level is 5.04 states/eV/cell. The total moment comes out at 0.00 μB per cell.

***

[9]
A plane-wave DFT calculation with PBE-GGA was carried out for a geometry-optimized NaHg4Pd2 structure.

Lattice parameters (Å, degrees): 4.8760 4.8760 14.1358 90.00 90.00 119.97
With the nearest neighbours (Å) after each atom.
Sites, in units of the cell vectors:
Na 0.0006 0.9994 0.7500  3 Hg 2.82
Na 0.9994 0.0006 0.2500  3 Hg 2.82
Hg 0.0000 0.0000 0.0000  6 Pd 2.92
Hg 0.0000 0.0000 0.5000  6 Pd 2.92
Hg 0.3329 0.6671 0.1397  4 Pd 2.74-3.06
Hg 0.3329 0.6671 0.3603  4 Pd 2.74-3.06
Hg 0.3340 0.6660 0.7500  2 Pd 2.77, 3 Na 2.82
Hg 0.6660 0.3340 0.2500  2 Pd 2.77, 3 Na 2.82
Hg 0.6671 0.3329 0.6397  4 Pd 2.74-3.06
Hg 0.6671 0.3329 0.8603  4 Pd 2.74-3.06
Pd 0.3335 0.6665 0.5544  8 Hg 2.74-3.06
Pd 0.3335 0.6665 0.9456  8 Hg 2.74-3.06
Pd 0.6665 0.3335 0.0544  8 Hg 2.74-3.06
Pd 0.6665 0.3335 0.4456  8 Hg 2.74-3.06

Properties
The calculation puts the energy relative to the elements at -0.124 eV per atom. The density of states at the Fermi level is 4.04 states/eV/cell. The total moment comes out at 0.00 μB per cell.

***

[10]
A plane-wave DFT calculation with PBE-GGA was carried out for a geometry-optimized Na2HgPd structure.

Lattice parameters (Å, degrees): 10.8814 10.8814 10.8814 158.34 158.34 30.81
With the nearest neighbours (Å) after each atom.
Sites, in units of the cell vectors:
Na 0.1146 0.6250 0.9896  4 Na 2.83-2.95, 2 Pd 2.98, 2 Hg 3.01
Na 0.3750 0.3646 0.4896  4 Na 2.83-2.95, 2 Pd 2.98, 2 Hg 3.01
Na 0.6354 0.1250 0.0104  4 Na 2.83-2.95, 2 Pd 2.98, 2 Hg 3.01
Na 0.8750 0.8854 0.5104  4 Na 2.83-2.95, 2 Pd 2.98, 2 Hg 3.01
Hg 0.2500 0.7500 0.5000  4 Pd 2.89, 4 Na 3.01
Hg 0.5000 0.5000 0.0000  4 Pd 2.89, 4 Na 3.01
Pd 0.0000 0.0000 0.0000  4 Hg 2.89, 4 Na 2.98
Pd 0.7500 0.2500 0.5000  4 Hg 2.89, 4 Na 2.98

Properties
The calculation puts the energy relative to the elements at -0.015 eV per atom. The density of states at the Fermi level is 2.63 states/eV/cell. The total moment comes out at 0.00 μB per cell.